Entry from Alexandria: a geometry-optimized CrCI2O structure (PBE+U).

Structure (POSCAR):
```
CrCI2O
1.0
5.507 0.000 0.000
0.000 5.507 0.000
0.000 0.000 3.259
Cr C I O
1 1 2 1
Direct
0.000 0.000 0.000
0.500 0.500 0.500
0.000 0.500 0.500
0.500 0.000 0.500
0.500 0.500 0.000
```

Summary:
Energy relative to the lowest polymorph listed for this composition: 34.24 kJ per mole of atoms
VASP energy: -3.329 eV per atom